[1]
VASP calculation (PBE) on crystalline Sc4Ge2S at its relaxed geometry.

## Properties
The uncorrected formation energy is -0.793 eV/atom. The raw total energy comes out at -6.320 eV/atom.

abc: 4.6301 4.6301 14.3417
angles: 90.00 90.00 90.00
Space group I4/mmm (No. 139)
Inequivalent atoms, fractional coordinates:
Sc: 0.0000 0.0000 0.1743 (multiplicity 4)
Sc: 0.0000 0.5000 0.0000 (multiplicity 4)
Ge: 0.0000 0.0000 0.3643 (multiplicity 4)
S: 0.0000 0.0000 0.0000 (multiplicity 2)

[2]
VASP calculation (PBE) on crystalline Mg3ZnBi at its relaxed geometry.

## Properties
The polymorph energy (0 for the lowest one) comes out at 0 meV/atom. The raw total energy comes out at -2.089 eV/atom.

abc: 7.6285 4.3633 7.7553
angles: 90.00 113.88 90.00
Space group P2_1/m (No. 11)
Inequivalent atoms, fractional coordinates:
Mg: 0.0542 0.2500 0.1590 (multiplicity 2)
Mg: 0.2000 0.7500 0.5189 (multiplicity 2)
Mg: 0.3768 0.7500 0.1693 (multiplicity 2)
Zn: 0.4078 0.2500 0.4349 (multiplicity 2)
Bi: 0.2118 0.2500 0.8214 (multiplicity 2)

[3]
VASP calculation (PBE) on crystalline PrYErTl at its relaxed geometry.

## Properties
The polymorph energy (0 for the lowest one) comes out at 0 meV/atom. The raw total energy comes out at -4.727 eV/atom.

abc: 4.8473 4.9180 4.9693
angles: 90.00 90.00 90.00
Space group Pmmm (No. 47)
Inequivalent atoms, fractional coordinates:
Pr: 0.0000 0.0000 0.0000 (multiplicity 1)
Y: 0.5000 0.0000 0.5000 (multiplicity 1)
Er: 0.5000 0.5000 0.0000 (multiplicity 1)
Tl: 0.0000 0.5000 0.5000 (multiplicity 1)

[4]
VASP calculation (PBE) on crystalline BP2Pb at its relaxed geometry.

## Properties
The polymorph energy (0 for the lowest one) comes out at 0 meV/atom. The raw total energy comes out at -5.127 eV/atom.

abc: 5.9879 5.9879 8.2556
angles: 90.00 90.00 90.00
Space group I-42d (No. 122)
Inequivalent atoms, fractional coordinates:
B: 0.0000 0.0000 0.0000 (multiplicity 4)
P: 0.1380 0.2500 0.1250 (multiplicity 8)
Pb: 0.0000 0.0000 0.5000 (multiplicity 4)

[5]
VASP calculation (PBE) on crystalline EuCo2Si2 at its relaxed geometry.

## Properties
The uncorrected formation energy is -0.644 eV/atom. The raw total energy comes out at -7.711 eV/atom.

abc: 3.9182 3.9182 10.1127
angles: 90.00 90.00 90.00
Space group I4/mmm (No. 139)
Inequivalent atoms, fractional coordinates:
Eu: 0.0000 0.0000 0.0000 (multiplicity 2)
Co: 0.0000 0.5000 0.2500 (multiplicity 4)
Si: 0.0000 0.0000 0.3653 (multiplicity 4)

[6]
VASP calculation (PBE) on crystalline TmH5 at its relaxed geometry.

## Properties
The raw total energy comes out at -3.362 eV/atom.

abc: 3.4240 7.0963 3.4341
angles: 90.00 90.00 90.00
Space group Cmmm (No. 65)
Inequivalent atoms, fractional coordinates:
Tm: 0.0000 0.0000 0.0000 (multiplicity 2)
H: 0.0000 0.1774 0.5000 (multiplicity 4)
H: 0.0000 0.3077 0.0000 (multiplicity 4)
H: 0.0000 0.5000 0.5000 (multiplicity 2)

[7]
VASP calculation (PBE) on crystalline Li4TlSe at its relaxed geometry.

## Properties
The uncorrected formation energy is -0.179 eV/atom. The raw total energy comes out at -2.430 eV/atom.

abc: 7.8192 7.8192 7.8192
angles: 90.00 90.00 90.00
Space group F-43m (No. 216)
Inequivalent atoms, fractional coordinates:
Li: 0.1254 0.1254 0.1254 (multiplicity 16)
Tl: 0.0000 0.0000 0.5000 (multiplicity 4)
Se: 0.2500 0.2500 0.7500 (multiplicity 4)

[8]
VASP calculation (PBE) on crystalline AlCd2 at its relaxed geometry.

## Properties
The raw total energy comes out at -1.735 eV/atom.

abc: 6.9858 6.9858 5.3751
angles: 90.00 90.00 90.00
Space group I4/mcm (No. 140)
Inequivalent atoms, fractional coordinates:
Al: 0.0000 0.0000 0.2500 (multiplicity 4)
Cd: 0.1521 0.3479 0.0000 (multiplicity 8)

[9]
VASP calculation (PBE) on crystalline MgMnIr4 at its relaxed geometry.

## Properties
The raw total energy comes out at -7.675 eV/atom.

abc: 7.3427 7.3427 7.3427
angles: 90.00 90.00 90.00
Space group F-43m (No. 216)
Inequivalent atoms, fractional coordinates:
Mg: 0.0000 0.0000 0.0000 (multiplicity 4)
Mn: 0.2500 0.2500 0.7500 (multiplicity 4)
Ir: 0.1250 0.1250 0.3750 (multiplicity 16)

[10]
VASP calculation (PBE) on crystalline Tc5C3 at its relaxed geometry.

## Properties
The polymorph energy (0 for the lowest one) comes out at 0 meV/atom. The raw total energy comes out at -9.550 eV/atom.

abc: 5.7883 6.0999 6.2035
angles: 74.90 69.84 70.81
Space group P-1 (No. 2)
Inequivalent atoms, fractional coordinates:
Tc: 0.0186 0.1685 0.2895 (multiplicity 2)
Tc: 0.1338 0.1522 0.8258 (multiplicity 2)
Tc: 0.2586 0.4959 0.0206 (multiplicity 2)
Tc: 0.3884 0.6771 0.3353 (multiplicity 2)
Tc: 0.4755 0.2100 0.3385 (multiplicity 2)
C: 0.2211 0.4809 0.6809 (multiplicity 2)
C: 0.2487 0.9991 0.4961 (multiplicity 2)
C: 0.2780 0.8380 0.0300 (multiplicity 2)

[11]
VASP calculation (PBE) on crystalline Sr2ErF8 at its relaxed geometry.

## Properties
The uncorrected formation energy is -3.605 eV/atom. The raw total energy comes out at -5.687 eV/atom.

abc: 14.3768 4.0333 5.7279
angles: 90.00 111.47 90.00
Space group C2/m (No. 12)
Inequivalent atoms, fractional coordinates:
Sr: 0.1693 0.0000 0.1827 (multiplicity 4)
Er: 0.0000 0.5000 0.5000 (multiplicity 2)
F: 0.0182 0.0000 0.3060 (multiplicity 4)
F: 0.0951 0.5000 0.9082 (multiplicity 4)
F: 0.1503 0.5000 0.4626 (multiplicity 4)
F: 0.2237 0.0000 0.8133 (multiplicity 4)

[12]
VASP calculation (PBE) on crystalline TbNdSm2Ho4 at its relaxed geometry.

## Properties
The raw total energy comes out at -4.220 eV/atom.

abc: 6.8180 11.8128 13.2742
angles: 90.00 90.00 90.00
Space group Imma (No. 74)
Inequivalent atoms, fractional coordinates:
Tb: 0.2500 0.2500 0.2500 (multiplicity 4)
Nd: 0.0000 0.0000 0.0000 (multiplicity 4)
Sm: 0.0000 0.0000 0.5000 (multiplicity 4)
Sm: 0.2500 0.2500 0.7500 (multiplicity 4)
Ho: 0.0000 0.0017 0.2503 (multiplicity 8)
Ho: 0.2494 0.2500 0.4984 (multiplicity 8)